An optimized crystal structure of SiAgAs2, computed with PBE.

- formation energy without anion corrections (kcal/mol of atoms) = 1.9
- E_tot (eV per cell) = -68.99
- density of states at the Fermi level (states/eV per cell) = 6.33

a = 5.9224 Å, b = 5.9224 Å, c = 10.7714 Å
α = 90.00°, β = 90.00°, γ = 90.00°
With the nearest neighbours (Å) after each atom.
Element x y z (fractional)
1 Si 0.0000 0.0000 0.0000  4 As 2.40
2 Si 0.0000 0.5000 0.2500  4 As 2.40
3 Si 0.5000 0.0000 0.7500  4 As 2.40
4 Si 0.5000 0.5000 0.5000  4 As 2.40
5 Ag 0.0000 0.0000 0.5000  4 As 2.58
6 Ag 0.0000 0.5000 0.7500  4 As 2.58
7 Ag 0.5000 0.0000 0.2500  4 As 2.58
8 Ag 0.5000 0.5000 0.0000  4 As 2.58
9 As 0.2243 0.2500 0.1250  2 Si 2.40, 2 Ag 2.58
10 As 0.2500 0.7243 0.3750  2 Si 2.40, 2 Ag 2.58
11 As 0.2500 0.7757 0.8750  2 Si 2.40, 2 Ag 2.58
12 As 0.2757 0.2500 0.6250  2 Si 2.40, 2 Ag 2.58
13 As 0.7243 0.7500 0.6250  2 Si 2.40, 2 Ag 2.58
14 As 0.7500 0.2243 0.8750  2 Si 2.40, 2 Ag 2.58
15 As 0.7500 0.2757 0.3750  2 Si 2.40, 2 Ag 2.58
16 As 0.7757 0.7500 0.1250  2 Si 2.40, 2 Ag 2.58